*1*
# Y2VAg | the Alexandria database | GGA-PBE | relaxed
# - space group = Fm-3m
# - density of states at the Fermi level (states/eV/f.u.) = 3.6
# - crystal system = cubic
# - V (Å³ per cell) = 95.6
data_Y2VAg
_cell_length_a 5.132
_cell_length_b 5.132
_cell_length_c 5.132
_cell_angle_alpha 60.00
_cell_angle_beta 60.00
_cell_angle_gamma 60.00
_space_group_name_H-M_alt 'P 1'
_space_group_IT_number 1
loop_
_space_group_symop_operation_xyz
'x,y,z'
loop_
_atom_site_label
_atom_site_fract_x
_atom_site_fract_y
_atom_site_fract_z
_atom_site_occupancy
Y1 0.250 0.250 0.250 1
Y2 0.750 0.750 0.750 1
V1 0.000 0.000 0.000 1
Ag1 0.500 0.500 0.500 1

---

*2*
# Y2VAg | the Alexandria database | GGA-PBE | relaxed
# - space group = I-42d
# - density of states at the Fermi level (states/eV/f.u.) = 5.7
# - crystal system = tetragonal
# - V (Å³ per cell) = 206.7
data_Y2VAg
_cell_length_a 10.838
_cell_length_b 10.838
_cell_length_c 10.838
_cell_angle_alpha 156.22
_cell_angle_beta 156.22
_cell_angle_gamma 33.87
_space_group_name_H-M_alt 'P 1'
_space_group_IT_number 1
loop_
_space_group_symop_operation_xyz
'x,y,z'
loop_
_atom_site_label
_atom_site_fract_x
_atom_site_fract_y
_atom_site_fract_z
_atom_site_occupancy
Y1 0.122 0.625 0.997 1
Y2 0.375 0.372 0.497 1
Y3 0.628 0.125 0.003 1
Y4 0.875 0.878 0.503 1
V1 0.250 0.750 0.500 1
V2 0.500 0.500 0.000 1
Ag1 0.000 0.000 0.000 1
Ag2 0.750 0.250 0.500 1

---

*3*
# Y2VAg | the Alexandria database | GGA-PBE | relaxed
# - space group = P4/mmm
# - density of states at the Fermi level (states/eV/f.u.) = 2.8
# - crystal system = tetragonal
# - V (Å³ per cell) = 94.8
data_Y2VAg
_cell_length_a 3.639
_cell_length_b 3.639
_cell_length_c 7.157
_cell_angle_alpha 90.00
_cell_angle_beta 90.00
_cell_angle_gamma 90.00
_space_group_name_H-M_alt 'P 1'
_space_group_IT_number 1
loop_
_space_group_symop_operation_xyz
'x,y,z'
loop_
_atom_site_label
_atom_site_fract_x
_atom_site_fract_y
_atom_site_fract_z
_atom_site_occupancy
Y1 0.000 0.000 0.241 1
Y2 0.000 0.000 0.759 1
V1 0.500 0.500 0.000 1
Ag1 0.500 0.500 0.500 1

---

The least stable of them is *2*.

---

*1*
# YV2Ag | the Alexandria database | GGA-PBE | relaxed
# - space group = I-42d
# - density of states at the Fermi level (states/eV/f.u.) = 4.5
# - crystal system = tetragonal
# - V (Å³ per cell) = 176.2
data_YV2Ag
_cell_length_a 10.483
_cell_length_b 10.483
_cell_length_c 10.483
_cell_angle_alpha 156.97
_cell_angle_beta 156.97
_cell_angle_gamma 32.80
_space_group_name_H-M_alt 'P 1'
_space_group_IT_number 1
loop_
_space_group_symop_operation_xyz
'x,y,z'
loop_
_atom_site_label
_atom_site_fract_x
_atom_site_fract_y
_atom_site_fract_z
_atom_site_occupancy
Y1 0.000 0.000 0.000 1
Y2 0.750 0.250 0.500 1
V1 0.361 0.625 0.236 1
V2 0.375 0.611 0.736 1
V3 0.389 0.125 0.764 1
V4 0.875 0.639 0.264 1
Ag1 0.250 0.750 0.500 1
Ag2 0.500 0.500 0.000 1

---

*2*
# YV2Ag | the Alexandria database | GGA-PBE | relaxed
# - space group = Fm-3m
# - density of states at the Fermi level (states/eV/f.u.) = 6.6
# - crystal system = cubic
# - V (Å³ per cell) = 71.8
data_YV2Ag
_cell_length_a 4.665
_cell_length_b 4.665
_cell_length_c 4.665
_cell_angle_alpha 60.00
_cell_angle_beta 60.00
_cell_angle_gamma 60.00
_space_group_name_H-M_alt 'P 1'
_space_group_IT_number 1
loop_
_space_group_symop_operation_xyz
'x,y,z'
loop_
_atom_site_label
_atom_site_fract_x
_atom_site_fract_y
_atom_site_fract_z
_atom_site_occupancy
Y1 0.000 0.000 0.000 1
V1 0.250 0.250 0.250 1
V2 0.750 0.750 0.750 1
Ag1 0.500 0.500 0.500 1

---

The least stable of them is *2*.

---

*1*
# VZnAg3 | the Alexandria database | GGA-PBE | relaxed
# - space group = Pm-3m
# - density of states at the Fermi level (states/eV/f.u.) = 6.4
# - crystal system = cubic
# - V (Å³ per cell) = 126.3
data_VZnAg3
_cell_length_a 5.017
_cell_length_b 5.017
_cell_length_c 5.017
_cell_angle_alpha 90.00
_cell_angle_beta 90.00
_cell_angle_gamma 90.00
_space_group_name_H-M_alt 'P 1'
_space_group_IT_number 1
loop_
_space_group_symop_operation_xyz
'x,y,z'
loop_
_atom_site_label
_atom_site_fract_x
_atom_site_fract_y
_atom_site_fract_z
_atom_site_occupancy
V1 0.000 0.000 0.000 1
Zn1 0.500 0.500 0.500 1
Ag1 0.000 0.000 0.500 1
Ag2 0.000 0.500 0.000 1
Ag3 0.500 0.000 0.000 1

---

*2*
# VZnAg3 | the Alexandria database | GGA-PBE | relaxed
# - space group = Pm-3m
# - density of states at the Fermi level (states/eV/f.u.) = 5.9
# - crystal system = cubic
# - V (Å³ per cell) = 108.7
data_VZnAg3
_cell_length_a 4.772
_cell_length_b 4.772
_cell_length_c 4.772
_cell_angle_alpha 90.00
_cell_angle_beta 90.00
_cell_angle_gamma 90.00
_space_group_name_H-M_alt 'P 1'
_space_group_IT_number 1
loop_
_space_group_symop_operation_xyz
'x,y,z'
loop_
_atom_site_label
_atom_site_fract_x
_atom_site_fract_y
_atom_site_fract_z
_atom_site_occupancy
V1 0.000 0.000 0.000 1
Zn1 0.500 0.500 0.500 1
Ag1 0.000 0.500 0.500 1
Ag2 0.500 0.000 0.500 1
Ag3 0.500 0.500 0.000 1

---

The least stable of them is *1*.

---

*1*
# V3ZnAg | the Alexandria database | GGA-PBE | relaxed
# - space group = Pm-3m
# - density of states at the Fermi level (states/eV/f.u.) = 13.0
# - crystal system = cubic
# - V (Å³ per cell) = 118.8
data_V3ZnAg
_cell_length_a 4.916
_cell_length_b 4.916
_cell_length_c 4.916
_cell_angle_alpha 90.00
_cell_angle_beta 90.00
_cell_angle_gamma 90.00
_space_group_name_H-M_alt 'P 1'
_space_group_IT_number 1
loop_
_space_group_symop_operation_xyz
'x,y,z'
loop_
_atom_site_label
_atom_site_fract_x
_atom_site_fract_y
_atom_site_fract_z
_atom_site_occupancy
V1 0.000 0.000 0.500 1
V2 0.000 0.500 0.000 1
V3 0.500 0.000 0.000 1
Zn1 0.500 0.500 0.500 1
Ag1 0.000 0.000 0.000 1

---

*2*
# V3ZnAg | the Alexandria database | GGA-PBE | relaxed
# - space group = Pm-3m
# - density of states at the Fermi level (states/eV/f.u.) = 6.6
# - crystal system = cubic
# - V (Å³ per cell) = 90.7
data_V3ZnAg
_cell_length_a 4.493
_cell_length_b 4.493
_cell_length_c 4.493
_cell_angle_alpha 90.00
_cell_angle_beta 90.00
_cell_angle_gamma 90.00
_space_group_name_H-M_alt 'P 1'
_space_group_IT_number 1
loop_
_space_group_symop_operation_xyz
'x,y,z'
loop_
_atom_site_label
_atom_site_fract_x
_atom_site_fract_y
_atom_site_fract_z
_atom_site_occupancy
V1 0.000 0.000 0.500 1
V2 0.000 0.500 0.000 1
V3 0.500 0.000 0.000 1
Zn1 0.000 0.000 0.000 1
Ag1 0.500 0.500 0.500 1

---

The least stable of them is *1*.